Density functional theory data (GGA-PBE) for crystalline NbMoPd at its relaxed geometry.

Properties
As for the final energy: -0.2922 Ha/atom. For the formation enthalpy at 0 K, the calculation gives 2.3 eV per formula unit.

The structure in CIF format:
```
data_NbMoPd
_symmetry_space_group_name_H-M 'P 1'
_symmetry_Int_Tables_number 1
_cell_length_a 4.3260
_cell_length_b 4.3260
_cell_length_c 4.3260
_cell_angle_alpha 60.00
_cell_angle_beta 60.00
_cell_angle_gamma 60.00
loop_
_symmetry_equiv_pos_as_xyz
'x,y,z'
loop_
_atom_site_label
_atom_site_type_symbol
_atom_site_fract_x
_atom_site_fract_y
_atom_site_fract_z
Pd1 Pd 0.0000 0.0000 0.0000
Nb1 Nb 0.7500 0.7500 0.7500
Mo1 Mo 0.2500 0.2500 0.2500
```